#i
A plane-wave DFT calculation with PBE was carried out for crystalline Dy6TmTh2 at its relaxed geometry.

Values from the calculation:
total magnetization	0.0	μB/f.u.

Cell lengths 5.0397, 7.9244, 7.9273 Å; angles 84.18, 71.44, 71.42 degrees
Atoms (fractional coordinates):
1 Dy 0.6702 0.8262 0.8334
2 Dy 0.3298 0.1737 0.1666
3 Dy 0.0036 0.8262 0.1667
4 Dy 0.3347 0.8306 0.5000
5 Dy 0.9964 0.1737 0.8333
6 Dy 0.6653 0.1694 0.5000
7 Tm 0.0000 0.5000 0.5000
8 Th 0.3321 0.5000 0.8359
9 Th 0.6679 0.5000 0.1641

#ii
A plane-wave DFT calculation with PBE was carried out for crystalline Dy6TmTh2 at its relaxed geometry.

Values from the calculation:
total magnetization	0.0	μB/f.u.

Cell lengths 3.5561, 3.5561, 26.2089 Å; angles 90.00, 90.00, 120.00 degrees
Atoms (fractional coordinates):
1 Dy 0.6667 0.3333 0.8929
2 Dy 0.3333 0.6667 0.4363
3 Dy 0.3333 0.6667 0.7841
4 Dy 0.3333 0.6667 0.2159
5 Dy 0.3333 0.6667 0.5637
6 Dy 0.6667 0.3333 0.1071
7 Tm 0.3333 0.6667 0.0000
8 Th 0.6667 0.3333 0.3283
9 Th 0.6667 0.3333 0.6717

On energetic grounds, #i is preferred over the next structure by 0.040 eV/atom.

#i
A plane-wave DFT calculation with PBE was carried out for crystalline Dy4TmTh2 at its relaxed geometry.

Values from the calculation:
total magnetization	0.0	μB/f.u.

Cell lengths 3.5595, 6.0671, 11.6604 Å; angles 111.66, 90.00, 90.00 degrees
Atoms (fractional coordinates):
1 Tm 0.9999 0.0000 0.0000
2 Th 0.0000 0.5000 0.5000
3 Th 0.5000 0.0000 0.5000
4 Dy 0.5000 0.1622 0.2566
5 Dy 0.5000 0.8378 0.7434
6 Dy 0.0000 0.3702 0.7889
7 Dy 0.0000 0.6298 0.2111

#ii
A plane-wave DFT calculation with PBE was carried out for crystalline Dy4TmTh2 at its relaxed geometry.

Values from the calculation:
total magnetization	0.4	μB/f.u.

Cell lengths 5.5206, 5.5206, 9.2410 Å; angles 107.38, 107.38, 90.00 degrees
Atoms (fractional coordinates):
1 Dy 0.8181 0.8181 0.6362
2 Dy 0.1819 0.1819 0.3638
3 Dy 0.0000 0.5000 0.0000
4 Dy 0.5000 0.0000 0.0000
5 Tm 0.0000 0.0000 0.0000
6 Th 0.6129 0.6129 0.2258
7 Th 0.3871 0.3871 0.7742

On energetic grounds, #i is preferred over the next structure by 0.620 eV/atom.

#i
A plane-wave DFT calculation with PBE was carried out for crystalline Dy4Tm2Th at its relaxed geometry.

Values from the calculation:
total magnetization	0.0	μB/f.u.

Cell lengths 3.5723, 3.5714, 20.0113 Å; angles 95.12, 90.00, 120.01 degrees
Atoms (fractional coordinates):
1 Tm 0.6201 0.2402 0.0966
2 Tm 0.7135 0.4271 0.3788
3 Th 0.8095 0.6191 0.6668
4 Dy 0.9065 0.8129 0.9559
5 Dy 0.4271 0.8542 0.5208
6 Dy 0.9999 0.9999 0.2369
7 Dy 0.5247 0.0495 0.8122

#ii
A plane-wave DFT calculation with PBE was carried out for crystalline Dy4Tm2Th at its relaxed geometry.

Values from the calculation:
total magnetization	1.0	μB/f.u.

Cell lengths 3.5268, 3.5268, 20.8325 Å; angles 85.14, 85.14, 60.00 degrees
Atoms (fractional coordinates):
1 Dy 0.7114 0.7114 0.8657
2 Dy 0.2886 0.2886 0.1343
3 Dy 0.1432 0.1432 0.5704
4 Dy 0.8568 0.8568 0.4296
5 Tm 0.2348 0.2348 0.2955
6 Tm 0.7652 0.7652 0.7045
7 Th 0.0000 0.0000 0.0000

On energetic grounds, #i is preferred over the next structure by 0.068 eV/atom.

#i
A plane-wave DFT calculation with PBE was carried out for crystalline Dy3Tm2Th3 at its relaxed geometry.

Values from the calculation:
total magnetization	0.0	μB/f.u.

Cell lengths 5.0055, 5.0017, 10.0558 Å; angles 90.00, 90.00, 90.00 degrees
Atoms (fractional coordinates):
1 Dy 0.5000 0.0000 0.5000
2 Dy 0.0000 0.5000 0.0000
3 Dy 0.0000 0.5000 0.5000
4 Tm 0.0000 0.0000 0.7511
5 Tm 0.0000 0.0000 0.2489
6 Th 0.5000 0.5000 0.7499
7 Th 0.5000 0.5000 0.2501
8 Th 0.5000 0.0000 0.0000

#ii
A plane-wave DFT calculation with PBE was carried out for crystalline Dy3Tm2Th3 at its relaxed geometry.

Values from the calculation:
total magnetization	0.0	μB/f.u.

Cell lengths 5.0264, 4.9987, 10.6452 Å; angles 103.58, 103.66, 90.00 degrees
Atoms (fractional coordinates):
1 Dy 0.1255 0.1255 0.2510
2 Dy 0.0000 0.5000 0.0000
3 Dy 0.8745 0.8745 0.7490
4 Tm 0.7499 0.2499 0.4999
5 Tm 0.2501 0.7501 0.5001
6 Th 0.6250 0.6250 0.2499
7 Th 0.3750 0.3750 0.7501
8 Th 0.5000 0.0000 0.0000

On energetic grounds, #i is preferred over the next structure by 0.005 eV/atom.

#i
A plane-wave DFT calculation with PBE was carried out for crystalline Dy9TmTh2 at its relaxed geometry.

Values from the calculation:
total magnetization	0.0	μB/f.u.

Cell lengths 3.4605, 11.3137, 11.3137 Å; angles 120.00, 90.00, 90.00 degrees
Atoms (fractional coordinates):
1 Dy 0.0000 0.0000 0.5000
2 Dy 0.0000 0.5000 0.5000
3 Dy 0.0000 0.5000 0.0000
4 Dy 0.5000 0.3453 0.1727
5 Dy 0.5000 0.1727 0.8273
6 Dy 0.5000 0.1727 0.3453
7 Dy 0.5000 0.8273 0.6547
8 Dy 0.5000 0.8273 0.1727
9 Dy 0.5000 0.6547 0.8273
10 Tm 0.0000 0.0000 0.0000
11 Th 0.0000 0.3333 0.6667
12 Th 0.0000 0.6667 0.3333

#ii
A plane-wave DFT calculation with PBE was carried out for crystalline Dy9TmTh2 at its relaxed geometry.

Values from the calculation:
total magnetization	0.0	μB/f.u.

Cell lengths 5.0168, 5.0168, 14.9878 Å; angles 90.00, 90.00, 90.00 degrees
Atoms (fractional coordinates):
1 Dy 0.5000 0.5000 0.0000
2 Dy 0.5000 0.5000 0.3324
3 Dy 0.5000 0.5000 0.6676
4 Dy 0.5000 0.0000 0.1674
5 Dy 0.5000 0.0000 0.5000
6 Dy 0.5000 0.0000 0.8326
7 Dy 0.0000 0.5000 0.1674
8 Dy 0.0000 0.5000 0.5000
9 Dy 0.0000 0.5000 0.8326
10 Tm 0.0000 0.0000 0.0000
11 Th 0.0000 0.0000 0.3340
12 Th 0.0000 0.0000 0.6660

On energetic grounds, #ii is preferred over the next structure by 0.076 eV/atom.

#i
A plane-wave DFT calculation with PBE was carried out for crystalline Dy4Tm5Th at its relaxed geometry.

Values from the calculation:
total magnetization	0.0	μB/f.u.

Cell lengths 3.5250, 10.8995, 8.6607 Å; angles 90.55, 101.75, 89.99 degrees
Atoms (fractional coordinates):
1 Dy 0.6518 0.2460 0.3043
2 Dy 0.9735 0.2517 0.9477
3 Dy 0.3482 0.7540 0.6957
4 Dy 0.0265 0.7483 0.0523
5 Tm 0.1729 0.5465 0.3461
6 Tm 0.1717 0.9495 0.3439
7 Tm 0.8283 0.0505 0.6561
8 Tm 0.5000 0.5000 0.0000
9 Tm 0.8271 0.4535 0.6539
10 Th 0.5000 0.0000 0.0000

#ii
A plane-wave DFT calculation with PBE was carried out for crystalline Dy4Tm5Th at its relaxed geometry.

Values from the calculation:
total magnetization	0.0	μB/f.u.

Cell lengths 6.3037, 7.8133, 7.8133 Å; angles 80.63, 66.21, 66.21 degrees
Atoms (fractional coordinates):
1 Dy 0.3978 0.3987 0.7041
2 Dy 0.7966 0.7041 0.6013
3 Dy 0.1020 0.2959 0.3987
4 Dy 0.5007 0.6013 0.2959
5 Tm 0.8062 0.3769 0.9091
6 Tm 0.1830 0.9091 0.6231
7 Tm 0.7153 0.0909 0.3769
8 Tm 0.0921 0.6231 0.0909
9 Tm 0.6921 0.0000 0.0000
10 Th 0.2246 0.0000 0.0000

On energetic grounds, #i is preferred over the next structure by 0.148 eV/atom.

#i
A plane-wave DFT calculation with PBE was carried out for crystalline Dy3Tm4Th at its relaxed geometry.

Values from the calculation:
total magnetization	0.0	μB/f.u.

Cell lengths 3.4231, 6.6459, 11.7197 Å; angles 106.56, 98.40, 90.00 degrees
Atoms (fractional coordinates):
1 Tm 0.7409 0.2434 0.4818
2 Tm 0.2591 0.7566 0.5182
3 Tm 0.1251 0.3649 0.2502
4 Tm 0.8749 0.6351 0.7498
5 Th 0.5000 0.0000 0.0000
6 Dy 0.0000 0.5000 0.0000
7 Dy 0.1247 0.8829 0.2494
8 Dy 0.8753 0.1171 0.7506

#ii
A plane-wave DFT calculation with PBE was carried out for crystalline Dy3Tm4Th at its relaxed geometry.

Values from the calculation:
total magnetization	0.0	μB/f.u.

Cell lengths 6.1972, 7.1712, 11.2557 Å; angles 90.00, 90.00, 90.00 degrees
Atoms (fractional coordinates):
1 Dy 0.6450 0.6234 0.0000
2 Dy 0.9779 0.6240 0.2492
3 Dy 0.4779 0.3760 0.2508
4 Dy 0.1450 0.3766 0.5000
5 Dy 0.4779 0.3760 0.7492
6 Dy 0.9779 0.6240 0.7508
7 Tm 0.1467 0.8763 0.0000
8 Tm 0.6471 0.1266 0.0000
9 Tm 0.9862 0.1254 0.2494
10 Tm 0.4862 0.8746 0.2506
11 Tm 0.1471 0.8734 0.5000
12 Tm 0.6467 0.1237 0.5000
13 Tm 0.4862 0.8746 0.7494
14 Tm 0.9862 0.1254 0.7506
15 Th 0.1482 0.3750 0.0000
16 Th 0.6482 0.6250 0.5000

On energetic grounds, #ii is preferred over the next structure by 0.154 eV/atom.

#i
A plane-wave DFT calculation with PBE was carried out for crystalline DyTm4Th2 at its relaxed geometry.

Values from the calculation:
total magnetization	0.0	μB/f.u.

Cell lengths 5.4759, 5.4759, 9.2104 Å; angles 107.29, 107.29, 90.00 degrees
Atoms (fractional coordinates):
1 Dy 0.0000 0.0000 0.0000
2 Tm 0.8210 0.8210 0.6421
3 Tm 0.1790 0.1790 0.3579
4 Tm 0.0000 0.5000 0.0000
5 Tm 0.5000 0.0000 0.0000
6 Th 0.6153 0.6153 0.2306
7 Th 0.3847 0.3847 0.7694

#ii
A plane-wave DFT calculation with PBE was carried out for crystalline DyTm4Th2 at its relaxed geometry.

Values from the calculation:
total magnetization	0.0	μB/f.u.

Cell lengths 3.4411, 8.4858, 8.8450 Å; angles 120.55, 83.07, 97.68 degrees
Atoms (fractional coordinates):
1 Tm 0.3761 0.7313 0.5797
2 Tm 0.9614 0.1644 0.7158
3 Tm 0.6239 0.2687 0.4203
4 Tm 0.0386 0.8356 0.2842
5 Th 0.4127 0.4137 0.1328
6 Th 0.5873 0.5863 0.8672
7 Dy 0.0000 0.0000 0.0000

On energetic grounds, #ii is preferred over the next structure by 0.704 eV/atom.

#i
A plane-wave DFT calculation with PBE was carried out for crystalline DyTm2Th2 at its relaxed geometry.

Values from the calculation:
total magnetization	0.0	μB/f.u.

Cell lengths 8.2003, 6.6762, 6.6762 Å; angles 99.04, 103.52, 103.52 degrees
Atoms (fractional coordinates):
1 Dy 0.2500 0.7736 0.2264
2 Dy 0.7500 0.2264 0.7736
3 Tm 0.0000 0.5000 0.5000
4 Tm 0.0000 0.0000 0.5000
5 Tm 0.5000 0.5000 0.5000
6 Tm 0.5000 0.5000 0.0000
7 Th 0.1464 0.2194 0.0875
8 Th 0.8536 0.7806 0.9125
9 Th 0.3536 0.9125 0.7806
10 Th 0.6464 0.0875 0.2194

#ii
A plane-wave DFT calculation with PBE was carried out for crystalline DyTm2Th2 at its relaxed geometry.

Values from the calculation:
total magnetization	0.0	μB/f.u.

Cell lengths 6.1586, 7.0731, 14.5070 Å; angles 90.00, 98.24, 90.00 degrees
Atoms (fractional coordinates):
1 Dy 0.8504 0.3737 0.3017
2 Dy 0.1496 0.6263 0.6983
3 Dy 0.3504 0.1263 0.3017
4 Dy 0.6496 0.8737 0.6983
5 Tm 0.5491 0.1252 0.9015
6 Tm 0.0491 0.3748 0.9015
7 Tm 0.9509 0.6252 0.0985
8 Tm 0.4509 0.8748 0.0985
9 Tm 0.3515 0.6232 0.3028
10 Tm 0.8515 0.8768 0.3028
11 Tm 0.1485 0.1232 0.6972
12 Tm 0.6485 0.3768 0.6972
13 Th 0.9491 0.1286 0.0982
14 Th 0.4491 0.3714 0.0982
15 Th 0.5509 0.6286 0.9018
16 Th 0.0509 0.8714 0.9018
17 Th 0.2494 0.3756 0.5009
18 Th 0.7494 0.1244 0.5009
19 Th 0.2506 0.8756 0.4991
20 Th 0.7506 0.6244 0.4991

On energetic grounds, #ii is preferred over the next structure by 0.283 eV/atom.

#i
A plane-wave DFT calculation with PBE was carried out for crystalline DyTmTh3 at its relaxed geometry.

Values from the calculation:
total magnetization	0.0	μB/f.u.

Cell lengths 6.8533, 6.8533, 6.8533 Å; angles 90.13, 90.13, 90.13 degrees
Atoms (fractional coordinates):
1 Dy 0.1253 0.1253 0.1253
2 Dy 0.8747 0.8747 0.8747
3 Tm 0.3749 0.3749 0.3749
4 Tm 0.6251 0.6251 0.6251
5 Th 0.2504 0.9146 0.5848
6 Th 0.5848 0.2504 0.9146
7 Th 0.9146 0.5848 0.2504
8 Th 0.7496 0.0854 0.4152
9 Th 0.0854 0.4152 0.7496
10 Th 0.4152 0.7496 0.0854

#ii
A plane-wave DFT calculation with PBE was carried out for crystalline DyTmTh3 at its relaxed geometry.

Values from the calculation:
total magnetization	0.0	μB/f.u.

Cell lengths 3.5203, 8.9408, 8.9408 Å; angles 133.86, 78.33, 78.33 degrees
Atoms (fractional coordinates):
1 Dy 0.5000 0.0355 0.9645
2 Tm 0.0000 0.6543 0.3457
3 Th 0.9581 0.1081 0.3772
4 Th 0.0419 0.6228 0.8919
5 Th 0.0000 0.2073 0.7927

On energetic grounds, #i is preferred over the next structure by 0.015 eV/atom.

#i
A plane-wave DFT calculation with PBE was carried out for crystalline Dy4Tm7Th at its relaxed geometry.

Values from the calculation:
total magnetization	0.0	μB/f.u.

Cell lengths 5.8537, 11.3834, 6.6879 Å; angles 83.61, 64.05, 75.10 degrees
Atoms (fractional coordinates):
1 Dy 0.6364 0.2245 0.5028
2 Dy 0.3636 0.7755 0.4972
3 Dy 0.7549 0.6798 0.8104
4 Dy 0.2451 0.3202 0.1896
5 Tm 0.7858 0.9231 0.5053
6 Tm 0.2142 0.0769 0.4947
7 Tm 0.0602 0.6760 0.2035
8 Tm 0.9398 0.3240 0.7965
9 Tm 0.3660 0.5010 0.7670
10 Tm 0.5000 0.0000 0.0000
11 Tm 0.6340 0.4990 0.2330
12 Th 0.0000 0.0000 0.0000

#ii
A plane-wave DFT calculation with PBE was carried out for crystalline Dy4Tm7Th at its relaxed geometry.

Values from the calculation:
total magnetization	0.0	μB/f.u.

Cell lengths 6.9040, 8.4026, 8.5607 Å; angles 88.73, 100.95, 50.82 degrees
Atoms (fractional coordinates):
1 Dy 0.5741 0.6562 0.3177
2 Dy 0.4259 0.3438 0.6823
3 Dy 0.7934 0.8147 0.6660
4 Dy 0.2066 0.1853 0.3340
5 Tm 0.7309 0.5189 0.9773
6 Tm 0.2691 0.4811 0.0227
7 Tm 0.9430 0.3220 0.6744
8 Tm 0.0570 0.6780 0.3256
9 Tm 0.2851 0.8222 0.6367
10 Tm 0.5000 0.0000 0.0000
11 Tm 0.7149 0.1778 0.3633
12 Th 0.0000 0.0000 0.0000

On energetic grounds, #ii is preferred over the next structure by 0.238 eV/atom.